No. 1
Computed, not measured: a geometry-optimized La2Tl2P structure at the PBE level of DFT.

Calculated values
total DFT energy (no corrections): -22.5 eV/f.u.

a b c (Å): 7.755 7.755 5.334
angles (deg): 90.00 90.00 90.00
Element x y z (fractional)
P  0.000  0.000  0.000
P  0.500  0.500  0.000
Tl  0.145  0.645  0.500
Tl  0.645  0.855  0.500
Tl  0.855  0.355  0.500
Tl  0.355  0.145  0.500
La  0.334  0.834  0.000
La  0.834  0.666  0.000
La  0.666  0.166  0.000
La  0.166  0.334  0.000


No. 2
Computed, not measured: a geometry-optimized LaTlP2 structure at the PBE level of DFT.

Calculated values
total DFT energy (no corrections): -19.4 eV/f.u.

a b c (Å): 6.558 6.558 6.558
angles (deg): 39.13 39.13 39.13
Element x y z (fractional)
La  0.717  0.717  0.717
P  0.960  0.960  0.960
P  0.295  0.295  0.295
Tl  0.528  0.528  0.528


No. 3
Computed, not measured: a geometry-optimized LaTlP4 structure at the PBE level of DFT.

Calculated values
total DFT energy (no corrections): -29.7 eV/f.u.

a b c (Å): 5.560 5.560 5.560
angles (deg): 60.00 60.00 60.00
Element x y z (fractional)
La  0.000  0.000  0.000
Tl  0.750  0.750  0.750
P  0.830  0.390  0.390
P  0.390  0.390  0.830
P  0.390  0.830  0.390
P  0.390  0.390  0.390


No. 4
Computed, not measured: a geometry-optimized LaTl4P structure at the PBE level of DFT.

Calculated values
total DFT energy (no corrections): -18.7 eV/f.u.

a b c (Å): 6.258 6.258 6.258
angles (deg): 60.00 60.00 60.00
Element x y z (fractional)
La  0.750  0.750  0.750
Tl  0.877  0.374  0.374
Tl  0.374  0.374  0.877
Tl  0.374  0.877  0.374
Tl  0.374  0.374  0.374
P  0.000  0.000  0.000


No. 5
Computed, not measured: a geometry-optimized LaTlP structure at the PBE level of DFT.

Calculated values
total DFT energy (no corrections): -13.0 eV/f.u.

a b c (Å): 5.025 5.025 5.025
angles (deg): 60.00 60.00 60.00
Element x y z (fractional)
La  0.000  0.000  0.000
P  0.500  0.500  0.500
Tl  0.750  0.750  0.750


No. 6
Computed, not measured: a geometry-optimized LaTlP structure at the PBE level of DFT.

Calculated values
total DFT energy (no corrections): -15.0 eV/f.u.

a b c (Å): 5.078 5.078 8.794
angles (deg): 73.22 73.22 60.00
Element x y z (fractional)
P  0.283  0.283  0.151
P  0.717  0.717  0.849
Tl  0.171  0.171  0.486
Tl  0.829  0.829  0.514
La  0.396  0.396  0.811
La  0.604  0.604  0.189


No. 7
Computed, not measured: a geometry-optimized LaTlP structure at the PBE level of DFT.

Calculated values
total DFT energy (no corrections): -14.5 eV/f.u.

a b c (Å): 8.029 8.029 4.153
angles (deg): 90.00 90.00 120.00
Element x y z (fractional)
La  0.607  0.000  0.500
La  0.000  0.607  0.500
La  0.393  0.393  0.500
Tl  0.255  0.000  0.000
Tl  0.000  0.255  0.000
Tl  0.745  0.745  0.000
P  0.000  0.000  0.500
P  0.333  0.667  0.000
P  0.667  0.333  0.000


No. 8
Computed, not measured: a geometry-optimized LaTlP2 structure at the PBE level of DFT.

Calculated values
total DFT energy (no corrections): -20.6 eV/f.u.

a b c (Å): 5.791 5.791 4.565
angles (deg): 81.35 81.35 43.09
Element x y z (fractional)
La  0.736  0.736  0.901
P  0.056  0.056  0.788
P  0.225  0.225  0.424
Tl  0.482  0.482  0.386


No. 9
Computed, not measured: a geometry-optimized LaTlP2 structure at the PBE level of DFT.

Calculated values
total DFT energy (no corrections): -20.6 eV/f.u.

a b c (Å): 4.026 4.026 6.614
angles (deg): 90.00 90.00 90.00
Element x y z (fractional)
La  0.500  0.500  0.750
P  0.000  0.000  0.920
P  0.000  0.000  0.580
Tl  0.500  0.500  0.250


No. 10
Computed, not measured: a geometry-optimized LaTlP3 structure at the PBE level of DFT.

Calculated values
total DFT energy (no corrections): -20.6 eV/f.u.

a b c (Å): 5.521 5.521 5.521
angles (deg): 90.00 90.00 90.00
Element x y z (fractional)
P  0.000  0.500  0.000
P  0.000  0.000  0.500
P  0.500  0.000  0.000
Tl  0.500  0.500  0.500
La  0.000  0.000  0.000


No. 11
Computed, not measured: a geometry-optimized LaTlP structure at the PBE level of DFT.

Calculated values
total DFT energy (no corrections): -14.3 eV/f.u.

a b c (Å): 4.999 4.999 4.999
angles (deg): 60.00 60.00 60.00
Element x y z (fractional)
La  0.500  0.500  0.500
P  0.750  0.750  0.750
Tl  0.000  0.000  0.000


No. 12
Computed, not measured: a geometry-optimized La4TlP structure at the PBE level of DFT.

Calculated values
total DFT energy (no corrections): -26.4 eV/f.u.

a b c (Å): 6.370 6.370 6.370
angles (deg): 60.00 60.00 60.00
Element x y z (fractional)
La  0.875  0.375  0.375
La  0.375  0.375  0.875
La  0.375  0.875  0.375
La  0.375  0.375  0.375
Tl  0.000  0.000  0.000
P  0.750  0.750  0.750


No. 13
Computed, not measured: a geometry-optimized LaTlP3 structure at the PBE level of DFT.

Calculated values
total DFT energy (no corrections): -21.5 eV/f.u.

a b c (Å): 5.064 5.064 5.064
angles (deg): 90.00 90.00 90.00
Element x y z (fractional)
P  0.000  0.500  0.000
P  0.000  0.000  0.500
P  0.500  0.000  0.000
Tl  0.000  0.000  0.000
La  0.500  0.500  0.500


No. 14
Computed, not measured: a geometry-optimized La2TlP2 structure at the PBE level of DFT.

Calculated values
total DFT energy (no corrections): -26.4 eV/f.u.

a b c (Å): 5.378 5.378 6.202
angles (deg): 64.31 64.31 90.00
Element x y z (fractional)
P  0.385  0.385  0.230
P  0.615  0.615  0.770
Tl  0.000  0.000  0.000
La  0.750  0.250  0.500
La  0.250  0.750  0.500


No. 15
Computed, not measured: a geometry-optimized La3TlP structure at the PBE level of DFT.

Calculated values
total DFT energy (no corrections): -26.6 eV/f.u.

a b c (Å): 4.192 9.350 16.310
angles (deg): 90.00 90.00 90.00
Element x y z (fractional)
La  0.750  0.194  0.292
La  0.250  0.656  0.990
La  0.250  0.032  0.107
La  0.250  0.532  0.393
La  0.250  0.156  0.510
La  0.750  0.468  0.607
La  0.250  0.306  0.792
La  0.750  0.968  0.893
La  0.750  0.344  0.010
La  0.750  0.694  0.208
La  0.750  0.844  0.490
La  0.250  0.806  0.708
Tl  0.250  0.907  0.323
Tl  0.750  0.093  0.677
Tl  0.750  0.593  0.823
Tl  0.250  0.407  0.177
P  0.250  0.664  0.555
P  0.750  0.336  0.445
P  0.750  0.836  0.055
P  0.250  0.164  0.945


No. 16
Computed, not measured: a geometry-optimized LaTlP2 structure at the PBE level of DFT.

Calculated values
total DFT energy (no corrections): -19.4 eV/f.u.

a b c (Å): 5.094 5.094 5.094
angles (deg): 60.00 60.00 60.00
Element x y z (fractional)
P  0.250  0.250  0.250
P  0.750  0.750  0.750
Tl  0.500  0.500  0.500
La  0.000  0.000  0.000


No. 17
Computed, not measured: a geometry-optimized La3TlP structure at the PBE level of DFT.

Calculated values
total DFT energy (no corrections): -26.0 eV/f.u.

a b c (Å): 5.597 5.597 5.597
angles (deg): 90.00 90.00 90.00
Element x y z (fractional)
P  0.000  0.000  0.000
Tl  0.500  0.500  0.500
La  0.000  0.500  0.000
La  0.000  0.000  0.500
La  0.500  0.000  0.000


No. 18
Computed, not measured: a geometry-optimized La2YTlP structure at the PBE level of DFT.

Calculated values
total DFT energy (no corrections): -27.5 eV/f.u.

a b c (Å): 5.590 5.590 5.303
angles (deg): 90.00 90.00 90.00
Element x y z (fractional)
Y  0.000  0.000  0.500
P  0.000  0.000  0.000
Tl  0.500  0.500  0.500
La  0.000  0.500  0.000
La  0.500  0.000  0.000


No. 19
Computed, not measured: a geometry-optimized LaTmP2 structure at the PBE level of DFT.

Calculated values
total DFT energy (no corrections): -26.5 eV/f.u.

a b c (Å): 4.115 4.115 7.116
angles (deg): 73.19 73.19 60.00
Element x y z (fractional)
P  0.256  0.256  0.232
P  0.744  0.744  0.768
Tm  0.000  0.000  0.000
La  0.500  0.500  0.500


No. 20
Computed, not measured: a geometry-optimized LaTmP structure at the PBE level of DFT.

Calculated values
total DFT energy (no corrections): -17.6 eV/f.u.

a b c (Å): 6.698 3.957 3.957
angles (deg): 120.00 90.00 90.00
Element x y z (fractional)
P  0.014  0.000  0.000
Tm  0.236  0.333  0.667
La  0.749  0.667  0.333